DFT (GGA-PBE) results for a relaxed structure of PuPd2Au6.

Calculated values
Total magnetization = 5.28 μB/cell
Space-group type = No. 2
Theoretical density = 16.21 Mg/m³
VASP energy = -5.11 eV/atom

```
PuPd2Au6
1.0
4.9333 0.9389 -1.4144
1.0789 7.5536 -1.9702
-1.2660 -0.4128 5.0312
Au Pd Pu
6 2 1
direct
0.1650 0.5058 0.3340
0.6026 0.1604 0.2246
0.8350 0.4942 0.6660
0.7416 0.8412 0.4686
0.2584 0.1588 0.5314
0.3974 0.8396 0.7754
0.9445 0.1728 0.8968
0.0555 0.8272 0.1032
0.5000 0.5000 0.0000
```

=====

DFT (GGA-PBE) results for a relaxed structure of PuPd3Au2.

Calculated values
Total magnetization = 9.90 μB/cell
Space-group type = No. 65
Theoretical density = 14.65 Mg/m³
VASP energy = -6.45 eV/atom

```
PuPd3Au2
1.0
-2.5726 1.7669 -2.4689
1.6329 -2.1894 -3.2684
-8.4454 -9.3968 2.0753
Pu Pd Au
2 6 4
direct
0.0000 0.0000 0.0000
0.0000 0.5000 0.5000
0.5000 0.5000 0.0000
0.5000 0.5000 0.6685
0.5000 0.0000 0.8315
0.5000 0.0000 0.5000
0.5000 0.0000 0.1685
0.5000 0.5000 0.3315
0.0000 0.0000 0.3313
0.0000 0.5000 0.1687
0.0000 0.5000 0.8313
0.0000 0.0000 0.6687
```

=====

DFT (GGA-PBE) results for a relaxed structure of PuPdAu3.

Calculated values
Total magnetization = 10.69 μB/cell
Space-group type = No. 161
Theoretical density = 13.90 Mg/m³
VASP energy = -5.97 eV/atom
Relative energy among the computed polymorphs = 222 meV/atom

```
PuPdAu3
1.0
6.5189 0.1412 0.1081
2.4344 6.0489 0.1081
2.4344 1.6831 5.8111
Au Pu Pd
6 2 2
direct
0.4067 0.5610 0.8643
0.3643 0.0610 0.9067
0.5610 0.8643 0.4067
0.9067 0.3643 0.0610
0.0610 0.9067 0.3643
0.8643 0.4067 0.5610
0.4318 0.4318 0.4318
0.9318 0.9318 0.9318
0.2545 0.2545 0.2545
0.7545 0.7545 0.7545
```

=====

DFT (GGA-PBE) results for a relaxed structure of Pu2Pd3Au4.

Calculated values
Total magnetization = 10.41 μB/cell
Space-group type = No. 12
Theoretical density = 15.19 Mg/m³
VASP energy = -6.75 eV/atom

```
Pu2Pd3Au4
1.0
-1.4810 2.8903 -2.8926
-4.3208 2.8158 1.7564
3.2305 7.3725 2.4432
Pd Au Pu
3 4 2
direct
0.3449 0.7555 0.5548
0.6551 0.2445 0.4452
0.0000 0.0000 0.0000
0.3335 0.4451 0.8879
0.9891 0.6830 0.3389
0.0109 0.3170 0.6611
0.6665 0.5549 0.1121
0.3257 0.1115 0.2371
0.6743 0.8885 0.7629
```

=====

DFT (GGA-PBE) results for a relaxed structure of PuPd3Au9.

Calculated values
Total magnetization = 5.45 μB/cell
Space-group type = No. 12
Theoretical density = 15.76 Mg/m³
VASP energy = -4.74 eV/atom

```
PuPd3Au9
1.0
-4.5902 -2.3232 2.3287
1.0072 -2.2457 6.8019
-4.1558 4.7458 3.3902
Au Pu Pd
9 1 3
direct
0.3514 0.6623 0.6557
0.5032 0.2146 0.7827
0.9929 0.3377 0.6557
0.0000 0.5000 0.0000
0.4968 0.7854 0.2173
0.0071 0.6623 0.3443
0.2860 0.2146 0.2173
0.6486 0.3377 0.3443
0.7140 0.7854 0.7827
0.0000 0.0000 0.0000
0.0000 0.0000 0.5000
0.5000 0.0000 0.5000
0.5000 0.5000 0.0000
```

=====

DFT (GGA-PBE) results for a relaxed structure of Pu6Pd5Au.

Calculated values
Total magnetization = 11.64 μB/cell
Space-group type = No. 2
Theoretical density = 13.67 Mg/m³
VASP energy = -9.97 eV/atom
Relative energy among the computed polymorphs = 0 meV/atom

```
Pu6Pd5Au
1.0
4.8151 -0.0057 -1.3476
-3.5811 7.0199 -3.5193
-0.1997 -0.9274 8.5399
Pu Pd Au
6 5 1
direct
0.7491 0.9260 0.5715
0.2573 0.4204 0.0932
0.7586 0.2443 0.2728
0.2414 0.7557 0.7272
0.7427 0.5796 0.9068
0.2509 0.0740 0.4285
0.5258 0.1879 0.8627
0.5000 0.5000 0.5000
0.9758 0.6424 0.3082
0.4742 0.8121 0.1373
0.0242 0.3576 0.6918
0.0000 0.0000 0.0000
```

=====

DFT (GGA-PBE) results for a relaxed structure of PuPd4Au.

Calculated values
Total magnetization = 9.74 μB/cell
Space-group type = No. 70
Theoretical density = 11.29 Mg/m³
VASP energy = -6.44 eV/atom
Relative energy among the computed polymorphs = 325 meV/atom

```
PuPd4Au
1.0
9.1442 3.5924 1.9294
-2.9243 4.3476 1.4996
-0.5549 0.8250 5.3585
Pd Au Pu
8 2 2
direct
0.2477 0.3727 0.8790
0.2523 0.3751 0.3767
0.2523 0.8773 0.3710
0.7523 0.8790 0.3727
0.7477 0.3710 0.8773
0.7523 0.8733 0.8749
0.7477 0.3767 0.3751
0.2477 0.8749 0.8733
0.0000 0.0000 0.0000
0.5000 0.2500 0.2500
0.5000 0.7500 0.7500
0.0000 0.5000 0.5000
```

=====

DFT (GGA-PBE) results for a relaxed structure of PuPdAu11.

Calculated values
Total magnetization = 5.52 μB/cell
Space-group type = No. 12
Theoretical density = 16.53 Mg/m³
VASP energy = -4.40 eV/atom

```
PuPdAu11
1.0
5.1697 0.0823 2.1538
2.6442 6.6951 1.1016
-0.0257 0.0412 7.3431
Pu Au Pd
1 11 1
direct
0.0000 0.0000 0.0000
0.7111 0.7857 0.7880
0.0000 0.0000 0.5000
0.3606 0.6491 0.6580
0.9814 0.3509 0.6580
0.2889 0.2143 0.2120
0.5009 0.2143 0.7880
0.5000 0.0000 0.5000
0.4991 0.7857 0.2120
0.6394 0.3509 0.3420
0.0000 0.5000 0.0000
0.0186 0.6491 0.3420
0.5000 0.5000 0.0000
```

=====

DFT (GGA-PBE) results for a relaxed structure of PuPd6Au2.

Calculated values
Total magnetization = 4.79 μB/cell
Space-group type = No. 162
Theoretical density = 13.71 Mg/m³
VASP energy = -5.93 eV/atom
Relative energy among the computed polymorphs = 0 meV/atom

```
PuPd6Au2
1.0
-1.6846 1.4091 1.7677
-5.3445 -5.8818 -0.4045
5.6911 -0.1706 5.5593
Au Pd Pu
2 6 1
direct
0.5000 0.3333 0.6667
0.5000 0.6667 0.3333
0.2171 0.6666 0.6666
0.7829 0.6666 0.0000
0.7829 0.3334 0.3334
0.2171 0.3334 0.0000
0.7829 0.0000 0.6666
0.2171 0.0000 0.3334
0.0000 0.0000 0.0000
```

=====

DFT (GGA-PBE) results for a relaxed structure of Pu2Pd4Au.

Calculated values
Total magnetization = 10.61 μB/cell
Space-group type = No. 139
Theoretical density = 12.79 Mg/m³
VASP energy = -7.95 eV/atom
Relative energy among the computed polymorphs = 0 meV/atom

```
Pu2Pd4Au
1.0
-3.5827 1.5856 -0.7837
-1.1785 -3.4601 -1.6134
-0.6008 -1.8104 9.2685
Pd Pu Au
4 2 1
direct
0.8534 0.8534 0.7069
0.2500 0.7500 0.5000
0.7500 0.2500 0.5000
0.1466 0.1466 0.2931
0.3913 0.3913 0.7825
0.6087 0.6087 0.2175
0.0000 0.0000 0.0000
```

=====

DFT (GGA-PBE) results for a relaxed structure of Pu3Pd3Au2.

Calculated values
Total magnetization = 35.29 μB/cell
Space-group type = No. 193
Theoretical density = 14.14 Mg/m³
VASP energy = -8.48 eV/atom

```
Pu3Pd3Au2
1.0
-2.0082 -1.6528 4.9426
-2.0685 -7.4102 -3.3183
7.5638 1.0866 3.4364
Pd Pu Au
6 6 4
direct
0.2500 0.0000 0.3967
0.2500 0.6033 0.6033
0.7500 0.3967 0.3967
0.7500 0.0000 0.6033
0.2500 0.3967 0.0000
0.7500 0.6033 0.0000
0.2500 0.2616 0.2616
0.7500 0.0000 0.2616
0.7500 0.2616 0.0000
0.2500 0.7384 0.0000
0.2500 0.0000 0.7384
0.7500 0.7384 0.7384
0.0000 0.3333 0.6667
0.0000 0.6667 0.3333
0.5000 0.3333 0.6667
0.5000 0.6667 0.3333
```

=====

DFT (GGA-PBE) results for a relaxed structure of PuPd5Au2.

Calculated values
Total magnetization = 4.51 μB/cell
Space-group type = No. 107
Theoretical density = 13.98 Mg/m³
VASP energy = -6.14 eV/atom

```
PuPd5Au2
1.0
5.4019 -0.2246 -1.7092
-2.9511 4.5297 -1.7103
0.1242 0.2205 5.6647
Pu Au Pd
1 2 5
direct
0.7786 0.7782 0.0000
0.7774 0.2779 0.4998
0.2776 0.7781 0.5002
0.7780 0.2779 0.0000
0.2778 0.2783 0.5004
0.2779 0.2773 0.0000
0.7774 0.7779 0.4996
0.2782 0.7773 0.0000
```

=====

Number 1: DOS at the Fermi energy 19.0 states/eV/cell. Number 2: DOS at the Fermi energy 36.8 states/eV/cell. Number 3: DOS at the Fermi energy 35.0 states/eV/cell. Number 4: DOS at the Fermi energy 30.6 states/eV/cell. Number 5: DOS at the Fermi energy 21.3 states/eV/cell. Number 6: DOS at the Fermi energy 67.7 states/eV/cell. Number 7: DOS at the Fermi energy 36.6 states/eV/cell. Number 8: DOS at the Fermi energy 20.5 states/eV/cell. Number 9: DOS at the Fermi energy 10.3 states/eV/cell. Number 10: DOS at the Fermi energy 26.0 states/eV/cell. Number 11: DOS at the Fermi energy 56.5 states/eV/cell. Number 12: DOS at the Fermi energy 15.4 states/eV/cell.